A plane-wave DFT calculation with PBE-GGA was carried out for crystalline RbCdFe2Br8 at its relaxed geometry.

a b c (Å): 6.806 6.806 10.096
angles (deg): 84.08 84.08 69.20
Sites, in units of the cell vectors:
Br 0.250 0.250 0.991
Br 0.307 0.307 0.582
Br 0.765 0.269 0.792
Br 0.235 0.731 0.208
Fe 0.616 0.616 0.212
Rb 0.000 0.000 0.500
Fe 0.384 0.384 0.788
Br 0.269 0.765 0.792
Br 0.750 0.750 0.009
Cd 0.000 0.000 0.000
Br 0.693 0.693 0.418
Br 0.731 0.235 0.208

Values from the calculation:
SG: C2/m (12)
E_tot in eV per atom: -3.4550
Raw formation energy in eV per atom: -0.7724
DOS(E_F) in states/eV/atom: 0.640


A plane-wave DFT calculation with PBE-GGA was carried out for crystalline YTmAu at its relaxed geometry.

a b c (Å): 3.576 3.576 6.624
angles (deg): 105.66 105.66 90.00
Sites, in units of the cell vectors:
Au 0.672 0.672 0.345
Y 0.019 0.019 0.038
Tm 0.309 0.309 0.618

Values from the calculation:
SG: I4mm (107)
Formation energy in eV/atom: -0.553
E_tot in eV per atom: -5.2902
DOS(E_F) in states/eV/atom: 1.072


A plane-wave DFT calculation with PBE-GGA was carried out for crystalline Zn2ReSi at its relaxed geometry.

a b c (Å): 4.302 4.302 4.302
angles (deg): 60.00 60.00 60.00
Sites, in units of the cell vectors:
Re 0.500 0.500 0.500
Zn 0.250 0.250 0.250
Zn 0.000 0.000 0.000
Si 0.750 0.750 0.750

Values from the calculation:
SG: F-43m (216)
E_tot in eV per atom: -4.7563
Raw formation energy in eV per atom: 0.3484
DOS(E_F) in states/eV/atom: 1.066


A plane-wave DFT calculation with PBE-GGA was carried out for crystalline Tb6SmTl3 at its relaxed geometry.

a b c (Å): 5.227 10.192 11.395
angles (deg): 100.51 90.00 90.00
Sites, in units of the cell vectors:
Tb 0.250 0.084 0.907
Tb 0.750 0.725 0.482
Tb 0.250 0.644 0.684
Tb 0.750 0.916 0.093
Tl 0.750 0.630 0.191
Tb 0.250 0.812 0.278
Tb 0.250 0.134 0.222
Tb 0.750 0.188 0.722
Tl 0.250 0.538 0.388
Tb 0.750 0.866 0.778
Sm 0.250 0.955 0.595
Tb 0.250 0.275 0.518
Tb 0.750 0.356 0.316
Tl 0.250 0.768 0.963
Tl 0.250 0.370 0.809
Tb 0.250 0.443 0.094
Tb 0.750 0.557 0.906
Tl 0.750 0.462 0.612
Sm 0.750 0.045 0.405
Tl 0.750 0.232 0.037

Values from the calculation:
SG: P2_1/m (11)
Formation energy in eV/atom: -0.195
E_tot in eV per atom: -4.1552
DOS(E_F) in states/eV/atom: 1.211


A plane-wave DFT calculation with PBE-GGA was carried out for crystalline Tb2Pm9Y at its relaxed geometry.

a b c (Å): 5.134 5.134 15.387
angles (deg): 90.00 90.00 90.00
Sites, in units of the cell vectors:
Pm 0.000 0.500 0.833
Pm 0.500 0.500 0.334
Tb 0.000 0.000 0.667
Y 0.000 0.000 0.000
Pm 0.500 0.000 0.500
Pm 0.000 0.500 0.500
Pm 0.500 0.000 0.167
Pm 0.000 0.500 0.167
Pm 0.500 0.500 0.000
Pm 0.500 0.000 0.833
Tb 0.000 0.000 0.333
Pm 0.500 0.500 0.666

Values from the calculation:
SG: P4/mmm (123)
Formation energy in eV/atom: 0.016
E_tot in eV per atom: -4.8575
DOS(E_F) in states/eV/atom: 1.626


A plane-wave DFT calculation with PBE-GGA was carried out for crystalline AcSm3Ir at its relaxed geometry.

a b c (Å): 5.621 5.621 5.621
angles (deg): 90.00 90.00 90.00
Sites, in units of the cell vectors:
Sm 0.000 0.500 0.000
Ir 0.000 0.000 0.000
Sm 0.500 0.000 0.000
Sm 0.000 0.000 0.500
Ac 0.500 0.500 0.500

Values from the calculation:
SG: Pm-3m (221)
Formation energy in eV/atom: -0.241
E_tot in eV per atom: -5.6666
DOS(E_F) in states/eV/atom: 1.877